## 1
Below is a relaxed structure of Mg2Ga6Sn, with properties calculated at the GGA-PBE level.

Cell: 8.1483 8.1483 3.0050 Å, 99.30 99.30 75.57°
Positions (direct):
Mg 0.0000 0.0000 0.0000
Mg 0.6499 0.6499 0.7136
Ga 0.2779 0.7013 0.5110
Ga 0.3717 0.9512 0.1935
Ga 0.6915 0.9585 0.3582
Ga 0.7013 0.2779 0.5110
Ga 0.9512 0.3717 0.1935
Ga 0.9585 0.6915 0.3582
Sn 0.3262 0.3262 0.3608

Properties
**Space-group type**: Cm, No. 8
**Total moment**: 0.00 μB/f.u.
**D(E_F)**: 0.39 states/eV/atom

---

## 2
Below is a relaxed structure of Mg2Ga6Sn, with properties calculated at the GGA-PBE level.

Cell: 7.6649 7.6649 4.0632 Å, 104.88 104.88 54.82°
Positions (direct):
Mg 0.0000 0.0000 0.0000
Mg 0.2458 0.2458 0.2407
Ga 0.0038 0.6211 0.8069
Ga 0.2476 0.6230 0.4267
Ga 0.3129 0.9305 0.6197
Ga 0.6211 0.0038 0.8069
Ga 0.6230 0.2476 0.4267
Ga 0.9305 0.3129 0.6197
Sn 0.6539 0.6539 0.1506

Properties
**Space-group type**: Cm, No. 8
**Total moment**: 0.00 μB/f.u.
**D(E_F)**: 0.35 states/eV/atom

---

Winner for stability: 2

---

## 1
Below is a relaxed structure of MgGaSn2, with properties calculated at the GGA-PBE level.

Cell: 6.4968 6.4968 6.4968 Å, 102.48 102.48 124.60°
Positions (direct):
Mg 0.0000 0.0000 0.0000
Mg 0.7500 0.2500 0.5000
Ga 0.2500 0.7500 0.5000
Ga 0.5000 0.5000 0.0000
Sn 0.1635 0.6250 0.0385
Sn 0.3750 0.4135 0.5385
Sn 0.5865 0.1250 0.9615
Sn 0.8750 0.8365 0.4615

Properties
**Space-group type**: I-42d, No. 122
**Total moment**: 0.00 μB/f.u.
**D(E_F)**: 0.55 states/eV/atom

---

## 2
Below is a relaxed structure of MgGaSn2, with properties calculated at the GGA-PBE level.

Cell: 11.1406 11.1406 11.1406 Å, 16.97 16.97 16.97°
Positions (direct):
Mg 0.0000 0.0000 0.0000
Ga 0.5000 0.5000 0.5000
Sn 0.0929 0.0929 0.0929
Sn 0.9071 0.9071 0.9071

Properties
**Space-group type**: R-3m, No. 166
**Total moment**: 0.00 μB/f.u.
**D(E_F)**: 0.55 states/eV/atom

---

Winner for stability: 1

---

## 1
Below is a relaxed structure of MgGaSn2, with properties calculated at the GGA-PBE level.

Cell: 6.4163 6.4163 6.4163 Å, 41.31 41.31 41.31°
Positions (direct):
Mg 0.0000 0.0000 0.0000
Ga 0.1703 0.1703 0.1703
Sn 0.5800 0.5800 0.5800
Sn 0.7551 0.7551 0.7551

Properties
**Space-group type**: R3m, No. 160
**Total moment**: 0.00 μB/f.u.
**D(E_F)**: 0.47 states/eV/atom

---

## 2
Below is a relaxed structure of MgGaSn2, with properties calculated at the GGA-PBE level.

Cell: 5.3690 5.3690 3.3459 Å, 90.00 90.00 101.10°
Positions (direct):
Mg 0.0000 0.0000 0.0000
Ga 0.5000 0.5000 0.0000
Sn 0.0000 0.5000 0.5000
Sn 0.5000 0.0000 0.5000

Properties
**Space-group type**: Cmmm, No. 65
**Total moment**: 0.00 μB/f.u.
**D(E_F)**: 0.44 states/eV/atom

---

Winner for stability: 2

---

## 1
Below is a relaxed structure of MgGaSn2, with properties calculated at the GGA-PBE level.

Cell: 5.1355 5.1355 5.1355 Å, 60.00 60.00 60.00°
Positions (direct):
Mg 0.0000 0.0000 0.0000
Ga 0.5000 0.5000 0.5000
Sn 0.2500 0.2500 0.2500
Sn 0.7500 0.7500 0.7500

Properties
**Space-group type**: Fm-3m, No. 225
**Total moment**: 0.00 μB/f.u.
**D(E_F)**: 0.52 states/eV/atom

---

## 2
Below is a relaxed structure of MgGaSn2, with properties calculated at the GGA-PBE level.

Cell: 4.5740 4.5740 4.5554 Å, 90.00 90.00 90.00°
Positions (direct):
Mg 0.0000 0.0000 0.0000
Ga 0.5000 0.5000 0.0000
Sn 0.0000 0.5000 0.5000
Sn 0.5000 0.0000 0.5000

Properties
**Space-group type**: P4/mmm, No. 123
**Total moment**: 0.00 μB/f.u.
**D(E_F)**: 0.34 states/eV/atom

---

Winner for stability: 2

---

## 1
Below is a relaxed structure of Mg6GaSn, with properties calculated at the GGA-PBE level.

Cell: 4.4277 4.4277 8.8370 Å, 90.00 90.00 90.00°
Positions (direct):
Mg 0.0000 0.0000 0.0000
Mg 0.0000 0.0000 0.5000
Mg 0.0000 0.5000 0.2412
Mg 0.0000 0.5000 0.7588
Mg 0.5000 0.0000 0.2412
Mg 0.5000 0.0000 0.7588
Ga 0.5000 0.5000 0.0000
Sn 0.5000 0.5000 0.5000

Properties
**Space-group type**: P4/mmm, No. 123
**Total moment**: 0.00 μB/f.u.
**D(E_F)**: 0.44 states/eV/atom

---

## 2
Below is a relaxed structure of Mg6GaSn, with properties calculated at the GGA-PBE level.

Cell: 4.9773 6.3402 6.3402 Å, 62.08 90.00 90.00°
Positions (direct):
Mg 0.0000 0.0000 0.0000
Mg 0.0000 0.0106 0.4900
Mg 0.0000 0.4900 0.0106
Mg 0.0000 0.4973 0.4973
Mg 0.5000 0.3294 0.8288
Mg 0.5000 0.8288 0.3294
Ga 0.5000 0.3317 0.3317
Sn 0.5000 0.8293 0.8293

Properties
**Space-group type**: Amm2, No. 38
**Total moment**: 0.00 μB/f.u.
**D(E_F)**: 0.44 states/eV/atom

---

## 3
Below is a relaxed structure of Mg6GaSn, with properties calculated at the GGA-PBE level.

Cell: 4.9697 5.7971 8.0816 Å, 107.85 90.02 115.00°
Positions (direct):
Mg 0.0631 0.1254 0.2036
Mg 0.2783 0.5557 0.6231
Mg 0.3902 0.7788 0.2983
Mg 0.6098 0.2212 0.7017
Mg 0.7217 0.4443 0.3769
Mg 0.9369 0.8746 0.7964
Ga 0.0000 0.0000 0.5000
Sn 0.5000 0.0000 0.0000

Properties
**Space-group type**: P-1, No. 2
**Total moment**: 0.00 μB/f.u.
**D(E_F)**: 0.29 states/eV/atom

---

Winner for stability: 1

---

## 1
Below is a relaxed structure of MgGa2Sn2, with properties calculated at the GGA-PBE level.

Cell: 7.4166 7.4166 4.1998 Å, 90.00 90.00 90.00°
Positions (direct):
Mg 0.0000 0.0000 0.0000
Mg 0.5000 0.5000 0.0000
Ga 0.1260 0.3740 0.0000
Ga 0.3740 0.8740 0.0000
Ga 0.6260 0.1260 0.0000
Ga 0.8740 0.6260 0.0000
Sn 0.1802 0.6802 0.5000
Sn 0.3198 0.1802 0.5000
Sn 0.6802 0.8198 0.5000
Sn 0.8198 0.3198 0.5000

Properties
**Space-group type**: P4/mbm, No. 127
**Total moment**: 0.00 μB/f.u.
**D(E_F)**: 0.40 states/eV/atom

---

## 2
Below is a relaxed structure of MgGa2Sn2, with properties calculated at the GGA-PBE level.

Cell: 8.5200 8.5200 8.5200 Å, 153.86 153.86 37.31°
Positions (direct):
Mg 0.0000 0.0000 0.0000
Ga 0.2500 0.7500 0.5000
Ga 0.7500 0.2500 0.5000
Sn 0.3940 0.3940 0.0000
Sn 0.6060 0.6060 0.0000

Properties
**Space-group type**: I4/mmm, No. 139
**Total moment**: 0.00 μB/f.u.
**D(E_F)**: 0.42 states/eV/atom

---

## 3
Below is a relaxed structure of MgGa2Sn2, with properties calculated at the GGA-PBE level.

Cell: 6.4555 6.4555 6.4555 Å, 136.16 136.16 63.74°
Positions (direct):
Mg 0.0000 0.0000 0.0000
Ga 0.3893 0.3893 0.0000
Ga 0.6107 0.6107 0.0000
Sn 0.2500 0.7500 0.5000
Sn 0.7500 0.2500 0.5000

Properties
**Space-group type**: I4/mmm, No. 139
**Total moment**: 0.00 μB/f.u.
**D(E_F)**: 0.52 states/eV/atom

---

## 4
Below is a relaxed structure of MgGa2Sn2, with properties calculated at the GGA-PBE level.

Cell: 8.0993 8.0993 3.6692 Å, 90.00 90.00 90.00°
Positions (direct):
Mg 0.0000 0.0000 0.0000
Mg 0.5000 0.5000 0.0000
Ga 0.1506 0.3494 0.5000
Ga 0.3494 0.8494 0.5000
Ga 0.6506 0.1506 0.5000
Ga 0.8494 0.6506 0.5000
Sn 0.1446 0.6446 0.0000
Sn 0.3554 0.1446 0.0000
Sn 0.6446 0.8554 0.0000
Sn 0.8554 0.3554 0.0000

Properties
**Space-group type**: P4/mbm, No. 127
**Total moment**: 0.00 μB/f.u.
**D(E_F)**: 0.44 states/eV/atom

---

Winner for stability: 1

---

## 1
Below is a relaxed structure of MgGa6Sn, with properties calculated at the GGA-PBE level.

Cell: 3.9372 6.3809 6.3809 Å, 89.31 90.00 90.00°
Positions (direct):
Mg 0.0000 0.0000 0.0000
Ga 0.0000 0.0069 0.4806
Ga 0.0000 0.4766 0.4766
Ga 0.0000 0.4806 0.0069
Ga 0.5000 0.2450 0.2450
Ga 0.5000 0.2469 0.7358
Ga 0.5000 0.7358 0.2469
Sn 0.5000 0.7315 0.7315

Properties
**Space-group type**: Amm2, No. 38
**Total moment**: 0.00 μB/f.u.
**D(E_F)**: 0.30 states/eV/atom

---

## 2
Below is a relaxed structure of MgGa6Sn, with properties calculated at the GGA-PBE level.

Cell: 4.2683 4.2683 8.6707 Å, 90.00 90.00 90.00°
Positions (direct):
Mg 0.0000 0.0000 0.0000
Ga 0.0000 0.5000 0.2370
Ga 0.0000 0.5000 0.7630
Ga 0.5000 0.0000 0.2370
Ga 0.5000 0.0000 0.7630
Ga 0.5000 0.5000 0.0000
Ga 0.5000 0.5000 0.5000
Sn 0.0000 0.0000 0.5000

Properties
**Space-group type**: P4/mmm, No. 123
**Total moment**: 0.00 μB/f.u.
**D(E_F)**: 0.40 states/eV/atom

---

Winner for stability: 1

---

## 1
Below is a relaxed structure of Mg3GaSn, with properties calculated at the GGA-PBE level.

Cell: 7.8174 7.8174 9.6660 Å, 90.00 90.00 156.31°
Positions (direct):
Mg 0.0761 0.9239 0.7500
Mg 0.3521 0.6479 0.5326
Mg 0.3521 0.6479 0.9674
Mg 0.6479 0.3521 0.0326
Mg 0.6479 0.3521 0.4674
Mg 0.9239 0.0761 0.2500
Ga 0.0000 0.0000 0.0000
Ga 0.0000 0.0000 0.5000
Sn 0.2505 0.7495 0.2500
Sn 0.7495 0.2505 0.7500

Properties
**Space-group type**: Cmcm, No. 63
**Total moment**: 0.00 μB/f.u.
**D(E_F)**: 0.26 states/eV/atom

---

## 2
Below is a relaxed structure of Mg3GaSn, with properties calculated at the GGA-PBE level.

Cell: 5.3774 5.3774 5.3774 Å, 90.00 90.00 90.00°
Positions (direct):
Mg 0.0000 0.0000 0.5000
Mg 0.0000 0.5000 0.0000
Mg 0.5000 0.0000 0.0000
Ga 0.5000 0.5000 0.5000
Sn 0.0000 0.0000 0.0000

Properties
**Space-group type**: Pm-3m, No. 221
**Total moment**: 0.00 μB/f.u.
**D(E_F)**: 0.63 states/eV/atom

---

Winner for stability: 1

---

## 1
Below is a relaxed structure of Mg3GaSn, with properties calculated at the GGA-PBE level.

Cell: 5.0544 5.0544 5.0544 Å, 90.00 90.00 90.00°
Positions (direct):
Mg 0.0000 0.0000 0.5000
Mg 0.0000 0.5000 0.0000
Mg 0.5000 0.0000 0.0000
Ga 0.0000 0.0000 0.0000
Sn 0.5000 0.5000 0.5000

Properties
**Space-group type**: Pm-3m, No. 221
**Total moment**: 0.00 μB/f.u.
**D(E_F)**: 0.74 states/eV/atom

---

## 2
Below is a relaxed structure of Mg3GaSn, with properties calculated at the GGA-PBE level.

Cell: 10.5405 10.5405 4.4669 Å, 102.05 102.05 82.14°
Positions (direct):
Mg 0.0141 0.1834 0.3518
Mg 0.1459 0.6336 0.1412
Mg 0.1834 0.0141 0.8518
Mg 0.2841 0.4532 0.6203
Mg 0.3664 0.8541 0.3588
Mg 0.4532 0.2841 0.1203
Mg 0.5468 0.7159 0.8797
Mg 0.6336 0.1459 0.6412
Mg 0.7159 0.5468 0.3797
Mg 0.8166 0.9859 0.1482
Mg 0.8541 0.3664 0.8588
Mg 0.9859 0.8166 0.6482
Ga 0.2637 0.7363 0.7500
Ga 0.4324 0.5676 0.2500
Ga 0.5676 0.4324 0.7500
Ga 0.7363 0.2637 0.2500
Sn 0.1396 0.3311 0.9870
Sn 0.3311 0.1396 0.4870
Sn 0.6689 0.8604 0.5130
Sn 0.8604 0.6689 0.0130

Properties
**Space-group type**: C2/c, No. 15
**Total moment**: 0.00 μB/f.u.
**D(E_F)**: 0.35 states/eV/atom

---

Winner for stability: 2

---

## 1
Below is a relaxed structure of Mg2GaSn2, with properties calculated at the GGA-PBE level.

Cell: 8.7482 8.7482 3.1972 Å, 90.00 90.00 90.00°
Positions (direct):
Mg 0.1345 0.3655 0.0000
Mg 0.3655 0.8655 0.0000
Mg 0.6345 0.1345 0.0000
Mg 0.8655 0.6345 0.0000
Ga 0.0000 0.0000 0.5000
Ga 0.5000 0.5000 0.5000
Sn 0.1633 0.6633 0.5000
Sn 0.3367 0.1633 0.5000
Sn 0.6633 0.8367 0.5000
Sn 0.8367 0.3367 0.5000

Properties
**Space-group type**: P4/mbm, No. 127
**Total moment**: 0.00 μB/f.u.
**D(E_F)**: 0.36 states/eV/atom

---

## 2
Below is a relaxed structure of Mg2GaSn2, with properties calculated at the GGA-PBE level.

Cell: 4.9620 4.9620 11.1670 Å, 90.00 90.00 120.00°
Positions (direct):
Mg 0.0000 0.0000 0.0000
Mg 0.0000 0.0000 0.5000
Mg 0.3333 0.6667 0.2500
Mg 0.6667 0.3333 0.7500
Ga 0.0000 0.0000 0.2500
Ga 0.0000 0.0000 0.7500
Sn 0.3333 0.6667 0.6015
Sn 0.3333 0.6667 0.8985
Sn 0.6667 0.3333 0.1015
Sn 0.6667 0.3333 0.3985

Properties
**Space-group type**: P6_3/mmc, No. 194
**Total moment**: 0.00 μB/f.u.
**D(E_F)**: 0.50 states/eV/atom

---

Winner for stability: 1

---

## 1
Below is a relaxed structure of Mg2GaSn2, with properties calculated at the GGA-PBE level.

Cell: 8.4013 8.4013 6.2440 Å, 90.00 90.00 147.71°
Positions (direct):
Mg 0.0994 0.9006 0.5000
Mg 0.3019 0.6981 0.7278
Mg 0.6981 0.3019 0.2278
Mg 0.9006 0.0994 0.0000
Ga 0.1041 0.8959 0.0034
Ga 0.8959 0.1041 0.5034
Sn 0.3124 0.6876 0.2350
Sn 0.4956 0.5044 0.7667
Sn 0.5044 0.4956 0.2667
Sn 0.6876 0.3124 0.7350

Properties
**Space-group type**: Cmc2_1, No. 36
**Total moment**: 0.00 μB/f.u.
**D(E_F)**: 0.38 states/eV/atom

---

## 2
Below is a relaxed structure of Mg2GaSn2, with properties calculated at the GGA-PBE level.

Cell: 6.9712 6.9712 6.9712 Å, 140.17 140.17 57.60°
Positions (direct):
Mg 0.2500 0.7500 0.5000
Mg 0.7500 0.2500 0.5000
Ga 0.0000 0.0000 0.0000
Sn 0.3879 0.3879 0.0000
Sn 0.6121 0.6121 0.0000

Properties
**Space-group type**: I4/mmm, No. 139
**Total moment**: 0.00 μB/f.u.
**D(E_F)**: 0.37 states/eV/atom

---

Winner for stability: 1